Record 1
# Cr2CdBr (PBE, relaxed)
# N(E_F), states/eV/cell: 3.4
# Crystal system: orthorhombic
# Energy relative to the elements, uncorrected, kJ per mole of atoms: 36.6
# ρ, g/cm³: 5.7
data_Cr2CdBr
_space_group_name_H-M_alt 'I m m 2'
_space_group_IT_number 44
_cell_length_a 3.1704
_cell_length_b 4.7323
_cell_length_c 11.6082
_cell_angle_alpha 90.00
_cell_angle_beta 90.00
_cell_angle_gamma 90.00
loop_
_space_group_symop_operation_xyz
'x,y,z'
'-x,-y,z'
'-x,y,z'
'x,-y,z'
'x+1/2,y+1/2,z+1/2'
'-x+1/2,-y+1/2,z+1/2'
'-x+1/2,y+1/2,z+1/2'
'x+1/2,-y+1/2,z+1/2'
loop_
_atom_site_label
_atom_site_type_symbol
_atom_site_fract_x
_atom_site_fract_y
_atom_site_fract_z
Cr1 Cr 0.0000 0.0000 0.0000
Cr2 Cr 0.0000 0.5000 0.3287
Cd1 Cd 0.0000 0.0000 0.4705
Br1 Br 0.0000 0.5000 0.6968

Record 2
# Ac2In2S7 (PBE, relaxed)
# N(E_F), states/eV/cell: 0.0
# Crystal system: monoclinic
# Energy relative to the elements, uncorrected, kJ per mole of atoms: -101.4
# ρ, g/cm³: 4.2
data_Ac2In2S7
_space_group_name_H-M_alt 'C 1 2/m 1'
_space_group_IT_number 12
_cell_length_a 8.7034
_cell_length_b 13.0205
_cell_length_c 6.9311
_cell_angle_alpha 90.00
_cell_angle_beta 114.85
_cell_angle_gamma 90.00
loop_
_space_group_symop_operation_xyz
'x,y,z'
'-x,-y,-z'
'-x,y,-z'
'x,-y,z'
'x+1/2,y+1/2,z'
'-x+1/2,-y+1/2,-z'
'-x+1/2,y+1/2,-z'
'x+1/2,-y+1/2,z'
loop_
_atom_site_label
_atom_site_type_symbol
_atom_site_fract_x
_atom_site_fract_y
_atom_site_fract_z
Ac1 Ac 0.0000 0.1850 0.0000
In1 In 0.2302 0.5000 0.3498
S1 S 0.0000 0.5000 0.5000
S2 S 0.1903 0.0000 0.2578
S3 S 0.2292 0.1643 0.7816

- What is the formula in the second record?
  Ac2In2S7

- Number 2 is which compound?
  Ac2In2S7

- What is the formula in the first record?
  Cr2CdBr